[1]
First-principles (PBE-GGA) data for a relaxed Th2OsRu crystal, as listed in the Alexandria database.

Lattice parameters (Å, degrees): 5.034 5.034 5.034 60.00 60.00 60.00
Fractional positions:
Ru  0.500  0.500  0.500
Os  0.000  0.000  0.000
Th  0.250  0.250  0.250
Th  0.750  0.750  0.750

The energy above the most stable polymorph in this dataset is 0.171 eV/atom. The value obtained for the energy of formation is -0.973 eV/f.u. The theoretical density is 13.90 g cm⁻³. As for the energy: -9.08 eV per atom. For the volume, the calculation gives 90.2 Å³ per cell.



[2]
First-principles (PBE-GGA) data for a relaxed Pu3Pa2Ge3 crystal, as listed in the Alexandria database.

Lattice parameters (Å, degrees): 6.645 7.962 7.962 120.00 90.00 90.00
Fractional positions:
Pu  0.750  0.171  0.000
Pu  0.750  0.829  0.829
Pu  0.750  0.000  0.171
Pu  0.250  0.829  0.000
Pu  0.250  0.171  0.171
Pu  0.250  0.000  0.829
Pa  0.000  0.333  0.667
Pa  0.500  0.667  0.333
Pa  0.000  0.667  0.333
Pa  0.500  0.333  0.667
Ge  0.750  0.583  0.000
Ge  0.750  0.417  0.417
Ge  0.750  0.000  0.583
Ge  0.250  0.417  0.000
Ge  0.250  0.583  0.583
Ge  0.250  0.000  0.417

The energy above the most stable polymorph in this dataset is 0.402 eV/atom. The value obtained for the energy of formation is 0.859 eV/f.u. The theoretical density is 12.85 g cm⁻³. As for the energy: -9.37 eV per atom. For the volume, the calculation gives 364.8 Å³ per cell.



[3]
First-principles (PBE-GGA) data for a relaxed Cs2KLi2 crystal, as listed in the Alexandria database.

Lattice parameters (Å, degrees): 11.932 11.932 4.481 90.00 90.00 90.00
Fractional positions:
Cs  0.363  0.863  0.000
Cs  0.863  0.637  0.000
Cs  0.637  0.137  0.000
Cs  0.137  0.363  0.000
K  0.000  0.000  0.000
K  0.500  0.500  0.000
Li  0.162  0.662  0.500
Li  0.662  0.838  0.500
Li  0.838  0.338  0.500
Li  0.338  0.162  0.500

The energy above the most stable polymorph in this dataset is 0.085 eV/atom. The value obtained for the energy of formation is 1.109 eV/f.u. The theoretical density is 1.66 g cm⁻³. As for the energy: -1.10 eV per atom. For the volume, the calculation gives 638.1 Å³ per cell.



[4]
First-principles (PBE-GGA) data for a relaxed SiP2Rh crystal, as listed in the Alexandria database.

Lattice parameters (Å, degrees): 2.921 2.921 6.509 90.00 90.00 90.00
Fractional positions:
P  0.000  0.000  0.008
P  0.000  0.000  0.492
Rh  0.500  0.500  0.250
Si  0.500  0.500  0.750

The energy relative to the elements, uncorrected comes out at 57 kJ/mol of formula units. The theoretical density is 5.77 g cm⁻³. As for the energy: -5.75 eV per atom. For the volume, the calculation gives 55.5 Å³ per cell.



[5]
First-principles (PBE-GGA) data for a relaxed LiCrFe2 crystal, as listed in the Alexandria database.

Lattice parameters (Å, degrees): 2.397 2.397 8.283 90.00 90.00 90.00
Fractional positions:
Cr  0.500  0.500  0.769
Fe  0.000  0.000  0.008
Fe  0.500  0.500  0.232
Li  0.000  0.000  0.491

The energy above the most stable polymorph in this dataset is 0.125 eV/atom. The value obtained for the energy of formation is 1.266 eV/f.u. The theoretical density is 5.95 g cm⁻³. As for the energy: -6.80 eV per atom. For the volume, the calculation gives 47.6 Å³ per cell.



[6]
First-principles (PBE-GGA) data for a relaxed PaTaAs crystal, as listed in the Alexandria database.

Lattice parameters (Å, degrees): 3.345 3.345 5.976 106.25 106.25 90.00
Fractional positions:
As  0.641  0.641  0.283
Pa  0.331  0.331  0.663
Ta  0.027  0.027  0.055

The energy above the most stable polymorph in this dataset is 0.075 eV/atom. The value obtained for the energy of formation is -0.890 eV/f.u. The theoretical density is 13.17 g cm⁻³. As for the energy: -8.96 eV per atom. For the volume, the calculation gives 61.4 Å³ per cell.



[7]
First-principles (PBE-GGA) data for a relaxed GaS6Cl crystal, as listed in the Alexandria database.

Lattice parameters (Å, degrees): 3.818 3.827 20.670 130.13 124.72 54.19
Fractional positions:
Ga  0.000  0.000  0.000
S  0.082  0.707  0.648
S  0.410  0.132  0.750
S  0.480  0.567  0.087
S  0.590  0.868  0.250
S  0.918  0.293  0.352
S  0.520  0.433  0.913
Cl  0.000  0.500  0.500

The energy relative to the elements, uncorrected comes out at 39 kJ/mol of formula units. The theoretical density is 2.78 g cm⁻³. As for the energy: -3.65 eV per atom. For the volume, the calculation gives 178.0 Å³ per cell.



[8]
First-principles (PBE-GGA) data for a relaxed CaH2Se crystal, as listed in the Alexandria database.

Lattice parameters (Å, degrees): 4.108 4.108 7.754 74.64 74.64 90.00
Fractional positions:
H  0.668  0.125  0.250
H  0.082  0.625  0.250
H  0.375  0.332  0.750
H  0.875  0.918  0.750
Ca  0.500  0.500  0.000
Ca  0.250  0.750  0.500
Se  0.000  0.000  0.000
Se  0.750  0.250  0.500

The energy above the most stable polymorph in this dataset is 0.706 eV/atom. The theoretical density is 3.31 g cm⁻³. As for the energy: -3.22 eV per atom. For the volume, the calculation gives 121.3 Å³ per cell.



Number 1: M_tot 0.0 μB/f.u.. Number 2: M_tot 0.5 μB/f.u.. Number 3: M_tot 0.0 μB/f.u.. Number 4: M_tot 0.0 μB/f.u.. Number 5: M_tot 0.1 μB/f.u.. Number 6: M_tot 0.6 μB/f.u.. Number 7: M_tot 0.0 μB/f.u.. Number 8: M_tot 0.0 μB/f.u..